Record 1
Compound: FeCoBr
Source: Alexandria via LeMat-Bulk
Functional: PBEsol
Structure: optimized geometry

abc: 4.028 4.028 2.977
angles: 90.00 90.00 120.00
Element x y z (fractional)
Fe 0.000 0.000 0.000
Co 0.333 0.667 0.547
Br 0.667 0.333 0.459

Summary:
**Electronic total energy**: -16.38 eV per formula unit
**Formation energy (no corrections)**: 0.7294 eV per atom

---

Record 2
Compound: MgFeNi2
Source: Alexandria via LeMat-Bulk
Functional: PBEsol
Structure: optimized geometry

abc: 2.910 2.910 5.838
angles: 90.00 90.00 90.00
Element x y z (fractional)
Mg 0.000 0.000 0.000
Fe 0.500 0.500 0.692
Ni 0.000 0.000 0.498
Ni 0.500 0.500 0.270

Summary:
**Electronic total energy**: -22.54 eV per formula unit

---

Record 3
Compound: AgHg2
Source: Alexandria via LeMat-Bulk
Functional: PBEsol
Structure: optimized geometry

abc: 5.794 5.794 7.126
angles: 102.47 102.47 30.62
Element x y z (fractional)
Ag 0.032 0.032 0.308
Ag 0.968 0.968 0.692
Hg 0.319 0.319 0.369
Hg 0.364 0.364 0.966
Hg 0.636 0.636 0.034
Hg 0.681 0.681 0.631

Summary:
**Electronic total energy**: -4.33 eV per formula unit

---

Record 4
Compound: AlRu2Pb
Source: Alexandria via LeMat-Bulk
Functional: PBEsol
Structure: optimized geometry

abc: 3.040 4.709 4.485
angles: 90.00 90.00 90.00
Element x y z (fractional)
Al 0.000 0.000 0.000
Ru 0.000 0.500 0.281
Ru 0.500 0.000 0.464
Pb 0.500 0.500 0.780

Summary:
**Electronic total energy**: -27.41 eV per formula unit

---

Record 5
Compound: BeRePb2
Source: Alexandria via LeMat-Bulk
Functional: PBEsol
Structure: optimized geometry

abc: 8.205 8.205 8.205
angles: 23.29 23.29 23.29
Element x y z (fractional)
Be 0.000 0.000 0.000
Re 0.500 0.500 0.500
Pb 0.254 0.254 0.254
Pb 0.746 0.746 0.746

Summary:
**Electronic total energy**: -21.40 eV per formula unit

---

Record 6
Compound: ZnIn2Cl
Source: Alexandria via LeMat-Bulk
Functional: PBEsol
Structure: optimized geometry

abc: 3.388 3.388 7.731
angles: 90.00 90.00 90.00
Element x y z (fractional)
Zn 0.000 0.000 0.000
In 0.500 0.500 0.230
In 0.500 0.500 0.770
Cl 0.000 0.000 0.500

Summary:
**Electronic total energy**: -10.21 eV per formula unit
**Formation energy (no corrections)**: -0.1634 eV per atom